# K2CoMoO, relaxed, DFT PBE+U
data_K2CoMoO
_chemical_formula_sum 'K2 Co1 Mo1 O1'
_symmetry_space_group_name_H-M 'P 4/m m m'
_symmetry_Int_Tables_number 123
_symmetry_space_group_name_Hall '-P 4 2'
_cell_length_a 6.5580
_cell_length_b 6.5580
_cell_length_c 3.5745
_cell_angle_alpha 90.00
_cell_angle_beta 90.00
_cell_angle_gamma 90.00
loop_
_atom_site_label
_atom_site_fract_x
_atom_site_fract_y
_atom_site_fract_z
K1 0.0000 0.5000 0.0000
Co1 0.0000 0.0000 0.0000
Mo1 0.5000 0.5000 0.5000
O1 0.0000 0.0000 0.5000
# N(E_F) in states/eV/f.u.: 0.80
# Total DFT energy (no corrections) in eV per atom: -3.640